No. 1
DFT (PBE) results for a relaxed structure of Zn4B.

Cell and atoms, written as POSCAR:
```
Zn4B
1.0
3.8415 0.0000 0.0000
0.0000 3.8415 0.0000
0.0000 0.0000 9.0453
B Zn
2 8
Direct
0.0000 0.5000 0.1495 B
0.5000 0.0000 0.8505 B
0.0000 0.0000 0.0000 Zn
0.5000 0.5000 0.0000 Zn
0.0000 0.0000 0.2834 Zn
0.5000 0.5000 0.2834 Zn
0.5000 0.0000 0.4910 Zn
0.0000 0.5000 0.5090 Zn
0.0000 0.0000 0.7166 Zn
0.5000 0.5000 0.7166 Zn
```

Summary:
V ... 13.3 Å³ per atom
Electronic total energy ... -0.1542 Ry per atom

---

No. 2
DFT (PBE) results for a relaxed structure of Zr4AlPC2.

Cell and atoms, written as POSCAR:
```
Zr4AlPC2
1.0
3.3948 0.0000 0.0000
-1.6974 2.9400 0.0000
0.0000 0.0000 13.3838
Al C P Zr
1 2 1 4
Direct
0.0000 0.0000 0.5000 Al
0.6667 0.3333 0.2337 C
0.6667 0.3333 0.7663 C
0.3333 0.6667 0.0000 P
0.0000 0.0000 0.1359 Zr
0.3333 0.6667 0.3267 Zr
0.3333 0.6667 0.6733 Zr
0.0000 0.0000 0.8641 Zr
```

Summary:
V ... 16.7 Å³ per atom
Electronic total energy ... -0.6297 Ry per atom

---

No. 3
DFT (PBE) results for a relaxed structure of GdIn4Si.

Cell and atoms, written as POSCAR:
```
GdIn4Si
1.0
5.1683 -5.1694 0.0000
5.1683 5.1694 0.0000
0.0000 0.0000 3.4973
Gd In Si
1 4 1
Direct
0.0000 0.0000 0.0000 Gd
0.2937 0.2937 0.0000 In
0.7063 0.7063 0.0000 In
0.7502 0.2498 0.5000 In
0.2498 0.7502 0.5000 In
0.5000 0.5000 0.5000 Si
```

Summary:
V ... 31.1 Å³ per atom
Electronic total energy ... -0.2418 Ry per atom

---

No. 4
DFT (PBE) results for a relaxed structure of TmScFe.

Cell and atoms, written as POSCAR:
```
TmScFe
1.0
0.0000 3.2272 3.2272
3.2272 0.0000 3.2272
3.2272 3.2272 0.0000
Fe Sc Tm
1 1 1
Direct
0.2500 0.2500 0.2500 Fe
0.7500 0.7500 0.7500 Sc
0.0000 0.0000 0.0000 Tm
```

Summary:
V ... 22.4 Å³ per atom
Relative energy among the computed polymorphs ... 80.73 kJ per mole of atoms
Electronic total energy ... -0.3956 Ry per atom

---

Q: Which value of electronic total energy does entry 2 give?
A: -0.6297 Ry per atom

---

Q: Which of these has the highest V?
A: GdIn4Si

---

Q: Which of these has the highest V?
A: GdIn4Si

---

Q: Number 4 is which compound?
A: TmScFe